{
  "formula": "Y3WF",
  "functional": "PBE with a Hubbard U",
  "state": "relaxed",
  "relative_energy_ev_per_atom": 0.0000,
  "spacegroup": "Pm-3m, No. 221",
  "dos_ef_per_ev_cell": 4.633,
  "lattice_angstrom": [[-3.9487, -0.5861, -2.8311], [2.7557, -2.2126, -3.3855], [-0.8745, -4.3257, 2.1152]],
  "species": ["Y", "Y", "Y", "W", "F"],
  "fractional_positions": [[0.0000, 0.5000, 0.0000], [0.0000, 0.0000, 0.5000], [0.5000, 0.0000, 0.0000], [0.5000, 0.5000, 0.5000], [0.0000, 0.0000, 0.0000]]
}